1.
A plane-wave DFT calculation with PBE was carried out for crystalline Zr2PaTl at its relaxed geometry.

abc: 4.8338 4.8338 3.9706
angles: 90.00 90.00 90.00
Closest atoms and distances in Å follow each position.
Space group P4/mmm (No. 123)
Inequivalent atoms, fractional coordinates:
Zr 0.0000 0.5000 0.0000 (multiplicity 2)  4 Tl 3.13, 4 Pa 3.13, 4 Zr 3.42
Pa 0.0000 0.0000 0.5000 (multiplicity 1)  8 Zr 3.13, 4 Tl 3.42
Tl 0.5000 0.5000 0.5000 (multiplicity 1)  8 Zr 3.13, 4 Pa 3.42

## Properties
* energy relative to the elements: -0.009 eV/atom
* M_tot: 0.00 μB/cell
* DOS(E_F): 6.591 states/eV/f.u.
* theoretical density: 11.1 g/cm³
* electronic total energy: -7.249 eV per atom
* ΔE to the lowest computed polymorph: 0.000 eV/atom

=====

2.
A plane-wave DFT calculation with PBE was carried out for crystalline ZrPaTl at its relaxed geometry.

abc: 5.2772 5.2772 3.1240
angles: 90.00 90.00 120.00
Closest atoms and distances in Å follow each position.
Space group P3m1 (No. 156)
Inequivalent atoms, fractional coordinates:
Zr 0.0000 0.0000 0.0000 (multiplicity 1)  3 Tl 3.05, 2 Zr 3.12
Pa 0.6667 0.3333 0.5006 (multiplicity 1)  2 Pa 3.12, 6 Tl 3.42-3.43, 6 Zr 3.42
Tl 0.3333 0.6667 0.0018 (multiplicity 1)  3 Zr 3.05, 2 Tl 3.12

## Properties
* energy relative to the elements: 0.239 eV/atom
* M_tot: 0.52 μB/cell
* DOS(E_F): 5.457 states/eV/f.u.
* theoretical density: 11.6 g/cm³
* electronic total energy: -6.564 eV per atom
* ΔE to the lowest computed polymorph: 0.207 eV/atom

=====

3.
A plane-wave DFT calculation with PBE was carried out for crystalline Zr3PaTl at its relaxed geometry.

abc: 3.2930 7.8703 9.3128
angles: 101.57 100.18 90.03
Closest atoms and distances in Å follow each position.
Space group P-1 (No. 2)
Inequivalent atoms, fractional coordinates:
Zr 0.0951 0.0319 0.1910 (multiplicity 2)  4 Tl 3.08-3.13, 2 Pa 3.12, 5 Zr 3.25-3.43
Zr 0.0985 0.5599 0.1975 (multiplicity 2)  4 Tl 3.08-3.14, 2 Pa 3.15, 4 Zr 3.19-3.29
Zr 0.3004 0.6531 0.6008 (multiplicity 2)  2 Pa 3.08, 8 Zr 3.18-3.29, 1 Tl 3.42
Pa 0.2971 0.1469 0.5931 (multiplicity 2)  4 Pa 3.06-3.29, 6 Zr 3.08-3.15
Tl 0.4909 0.7431 0.9817 (multiplicity 2)  9 Zr 3.08-3.42, 2 Tl 3.29

## Properties
* energy relative to the elements: -0.045 eV/atom
* M_tot: 0.00 μB/cell
* DOS(E_F): 6.441 states/eV/f.u.
* theoretical density: 10.1 g/cm³
* electronic total energy: -7.546 eV per atom

=====

4.
A plane-wave DFT calculation with PBE was carried out for crystalline Zr2PaTl at its relaxed geometry.

abc: 3.2558 3.2558 31.4881
angles: 90.00 90.00 120.00
Closest atoms and distances in Å follow each position.
Space group R3m (No. 160, hexagonal axes)
Inequivalent atoms, fractional coordinates:
Zr 0.0000 0.0000 0.0000 (multiplicity 3)  3 Tl 3.20, 6 Zr 3.26, 3 Pa 3.26
Zr 0.0000 0.0000 0.1688 (multiplicity 3)  3 Tl 3.20, 3 Pa 3.25, 6 Zr 3.26
Pa 0.0000 0.0000 0.7512 (multiplicity 3)  6 Zr 3.25-3.26, 6 Pa 3.26
Tl 0.0000 0.0000 0.5846 (multiplicity 3)  6 Zr 3.20, 6 Tl 3.26

## Properties
* energy relative to the elements: 0.012 eV/atom
* M_tot: 0.00 μB/cell
* DOS(E_F): 4.056 states/eV/f.u.
* theoretical density: 10.6 g/cm³
* electronic total energy: -7.228 eV per atom
* ΔE to the lowest computed polymorph: 0.021 eV/atom

=====

5.
A plane-wave DFT calculation with PBE was carried out for crystalline ZrPaTl at its relaxed geometry.

abc: 3.1828 3.1828 14.6318
angles: 90.00 90.00 90.00
Closest atoms and distances in Å follow each position.
Space group I4mm (No. 107)
Inequivalent atoms, fractional coordinates:
Zr 0.0000 0.0000 0.0000 (multiplicity 2)  4 Zr 3.18, 4 Tl 3.26, 4 Pa 3.27
Pa 0.0000 0.0000 0.3375 (multiplicity 2)  4 Pa 3.18, 4 Zr 3.27, 4 Tl 3.42
Tl 0.0000 0.0000 0.6614 (multiplicity 2)  4 Tl 3.18, 4 Zr 3.26, 4 Pa 3.42

## Properties
* energy relative to the elements: 0.032 eV/atom
* M_tot: 0.00 μB/cell
* DOS(E_F): 2.903 states/eV/f.u.
* theoretical density: 11.8 g/cm³
* electronic total energy: -6.772 eV per atom
* ΔE to the lowest computed polymorph: 0.000 eV/atom

=====

6.
A plane-wave DFT calculation with PBE was carried out for crystalline ZrPaTl at its relaxed geometry.

abc: 4.2819 4.2819 16.4075
angles: 90.00 90.00 90.00
Closest atoms and distances in Å follow each position.
Space group I4/mmm (No. 139)
Inequivalent atoms, fractional coordinates:
Zr 0.0000 0.0000 0.1643 (multiplicity 4)  5 Tl 3.00-3.03
Pa 0.0000 0.5000 0.0000 (multiplicity 4)  4 Pa 3.03, 4 Tl 3.30
Tl 0.0000 0.0000 0.3471 (multiplicity 4)  5 Zr 3.00-3.03, 4 Pa 3.30

## Properties
* energy relative to the elements: 0.102 eV/atom
* M_tot: 0.00 μB/cell
* DOS(E_F): 3.206 states/eV/f.u.
* theoretical density: 11.6 g/cm³
* electronic total energy: -6.701 eV per atom
* ΔE to the lowest computed polymorph: 0.070 eV/atom

=====

7.
A plane-wave DFT calculation with PBE was carried out for crystalline Tm3Pa at its relaxed geometry.

abc: 4.8753 4.8753 9.6586
angles: 90.00 90.00 90.00
Closest atoms and distances in Å follow each position.
Space group I4/mmm (No. 139)
Inequivalent atoms, fractional coordinates:
Tm 0.0000 0.0000 0.0000 (multiplicity 2)  8 Tm 3.43, 4 Pa 3.45
Tm 0.0000 0.5000 0.2500 (multiplicity 4)  4 Pa 3.43, 8 Tm 3.43-3.45
Pa 0.0000 0.0000 0.5000 (multiplicity 2)  12 Tm 3.43-3.45

## Properties
* energy relative to the elements: 0.220 eV/atom
* M_tot: 0.01 μB/cell
* DOS(E_F): 8.305 states/eV/f.u.
* theoretical density: 10.7 g/cm³
* electronic total energy: -5.507 eV per atom
* ΔE to the lowest computed polymorph: 0.059 eV/atom

=====

8.
A plane-wave DFT calculation with PBE was carried out for crystalline TmPa6 at its relaxed geometry.

abc: 7.6400 7.6400 7.6400
angles: 90.00 90.00 90.00
Closest atoms and distances in Å follow each position.
Space group Im-3m (No. 229)
Inequivalent atoms, fractional coordinates:
Tm 0.0000 0.0000 0.0000 (multiplicity 2)  24 Pa 4.27
Pa 0.0000 0.2500 0.5000 (multiplicity 12)  4 Pa 2.70

## Properties
* energy relative to the elements: 1.427 eV/atom
* M_tot: 13.55 μB/cell
* DOS(E_F): 22.468 states/eV/f.u.
* theoretical density: 11.6 g/cm³
* electronic total energy: -7.351 eV per atom